# AlCr2TcO6

A relaxed AlCr2TcO6 crystal (GGA+U, Alexandria via LeMat-Bulk).

Cell: 5.038 5.038 5.468 Å, 62.57 62.57 60.00°
Sites, in units of the cell vectors:
1 Cr 0.515 0.515 0.455
2 O 0.706 0.116 0.764
3 O 0.592 0.232 0.243
4 Tc 0.821 0.821 0.538
5 Al 0.317 0.317 0.050
6 O 0.232 0.934 0.243
7 Cr 0.016 0.016 0.953
8 O 0.934 0.592 0.242
9 O 0.415 0.706 0.764
10 O 0.115 0.415 0.764

Values from the calculation:
Volume in Å³ per cell: 101.8
N(E_F) in states/eV per atom: 0.399
Space group: R3, No. 146
VASP energy in eV/atom: -7.807